ScAl4Au2: optimized geometry, PBE.

Cell lengths 4.239, 6.941, 16.958 Å; angles 90.00, 90.00, 90.00 degrees
Fractional coordinates of all 28 atoms:
Al 0.750 0.338 0.315
Al 0.750 0.629 0.964
Al 0.750 0.871 0.464
Al 0.250 0.473 0.434
Al 0.250 0.248 0.190
Sc 0.750 0.977 0.642
Au 0.750 0.249 0.463
Al 0.750 0.748 0.310
Au 0.750 0.251 0.963
Sc 0.250 0.477 0.858
Au 0.750 0.452 0.718
Al 0.750 0.527 0.566
Al 0.750 0.752 0.810
Au 0.750 0.048 0.218
Al 0.750 0.973 0.066
Al 0.250 0.027 0.934
Al 0.250 0.838 0.185
Al 0.250 0.371 0.036
Al 0.750 0.162 0.815
Au 0.250 0.749 0.037
Sc 0.750 0.523 0.142
Al 0.250 0.129 0.536
Au 0.250 0.751 0.537
Sc 0.250 0.023 0.358
Al 0.250 0.662 0.685
Al 0.250 0.252 0.690
Au 0.250 0.952 0.782
Au 0.250 0.548 0.282

Computed properties:
- VASP energy (eV/atom) = -4.50
- formation energy from the elements (eV/atom) = -0.525
- symmetry = No. 62
- total moment (μB per cell) = 0.00